No. 1
Computed, not measured: a relaxed structure of NbV4Se8 at the PBE level of DFT.

Lattice parameters (Å, degrees): 7.3064 7.3064 7.3064 60.00 60.00 60.00
Element x y z (fractional)
1 Nb 0.0000 0.0000 0.0000
2 V 0.1995 0.6002 0.6002
3 V 0.6002 0.1995 0.6002
4 V 0.6002 0.6002 0.1995
5 V 0.6002 0.6002 0.6002
6 Se 0.3692 0.3692 0.3692
7 Se 0.3692 0.3692 0.8924
8 Se 0.3692 0.8924 0.3692
9 Se 0.4145 0.8618 0.8618
10 Se 0.8618 0.4145 0.8618
11 Se 0.8618 0.8618 0.4145
12 Se 0.8618 0.8618 0.8618
13 Se 0.8924 0.3692 0.3692

Results
- Energy relative to the elements, uncorrected: -623.1 meV per atom
- Excess energy over the best structure of this formula in the dataset: 0.000 eV per atom



No. 2
Computed, not measured: a relaxed structure of NbVSe3 at the PBE level of DFT.

Lattice parameters (Å, degrees): 6.3194 3.4951 9.9895 90.00 106.02 90.00
Element x y z (fractional)
1 Nb 0.1720 0.2500 0.4509
2 Nb 0.8280 0.7500 0.5491
3 V 0.4852 0.2500 0.8880
4 V 0.5148 0.7500 0.1120
5 Se 0.1011 0.2500 0.6956
6 Se 0.2517 0.2500 0.0474
7 Se 0.4263 0.7500 0.3563
8 Se 0.5737 0.2500 0.6437
9 Se 0.7483 0.7500 0.9526
10 Se 0.8989 0.7500 0.3044

Results
- Energy relative to the elements, uncorrected: -613.1 meV per atom
- Excess energy over the best structure of this formula in the dataset: 0.000 eV per atom



No. 3
Computed, not measured: a relaxed structure of Nb2VSe4 at the PBE level of DFT.

Lattice parameters (Å, degrees): 4.9806 4.9806 12.8683 90.00 90.00 90.00
Element x y z (fractional)
1 Nb 0.0000 0.0000 0.1132
2 Nb 0.0000 0.0000 0.8868
3 Nb 0.5000 0.5000 0.3868
4 Nb 0.5000 0.5000 0.6132
5 V 0.0000 0.0000 0.5000
6 V 0.5000 0.5000 0.0000
7 Se 0.0000 0.0000 0.3031
8 Se 0.0000 0.0000 0.6969
9 Se 0.0000 0.5000 0.0000
10 Se 0.0000 0.5000 0.5000
11 Se 0.5000 0.0000 0.0000
12 Se 0.5000 0.0000 0.5000
13 Se 0.5000 0.5000 0.1969
14 Se 0.5000 0.5000 0.8031

Results
- Energy relative to the elements, uncorrected: 82.1 meV per atom
- Excess energy over the best structure of this formula in the dataset: 0.908 eV per atom



- Which of these has the highest excess energy over the best structure of this formula in the dataset?
  Nb2VSe4